[1]
This record from Alexandria via LeMat-Bulk describes a relaxed VZn2Fe crystal. The functional is PBE.

Cell: 5.979 5.979 5.979 Å, 90.00 90.00 90.00°
Space group Fm-3m (No. 225)
Inequivalent atoms, fractional coordinates:
V 0.000 0.000 0.000 (multiplicity 4)
Zn 0.250 0.250 0.250 (multiplicity 8)
Fe 0.000 0.000 0.500 (multiplicity 4)

Output
Energy above the lowest structure with this stoichiometry   205 meV per atom
Uncorrected energy   -4.872 eV per atom
Crystal system   cubic
E_form   0.160 eV/atom

***

[2]
This record from Alexandria via LeMat-Bulk describes a relaxed MgInFeIr crystal. The functional is PBE.

Cell: 6.382 6.382 6.382 Å, 90.00 90.00 90.00°
Space group F-43m (No. 216)
Inequivalent atoms, fractional coordinates:
Mg 0.000 0.000 0.000 (multiplicity 4)
In 0.250 0.250 0.750 (multiplicity 4)
Fe 0.250 0.250 0.250 (multiplicity 4)
Ir 0.000 0.000 0.500 (multiplicity 4)

Output
Uncorrected energy   -5.426 eV per atom
Crystal system   cubic
E_form   -0.011 eV/atom

***

[3]
This record from Alexandria via LeMat-Bulk describes a relaxed Li4PrAs2 crystal. The functional is PBE.

Cell: 7.832 7.832 4.210 Å, 90.00 90.00 90.00°
Space group P4_2/mnm (No. 136)
Inequivalent atoms, fractional coordinates:
Li 0.095 0.334 0.000 (multiplicity 8)
Pr 0.000 0.000 0.500 (multiplicity 2)
As 0.213 0.787 0.000 (multiplicity 4)

Output
Uncorrected energy   -3.931 eV per atom
Crystal system   tetragonal
E_form   -0.826 eV/atom